Entry 1:
A PBEsol-optimized structure of NiRu2Pt. Source: the Alexandria database, functional SCAN.

energy: -38.9984 eV/atom
calculated formation energy: 0.01 eV per atom
calculated volume: 13.1 Å³/atom

```
data_NiRu2Pt
_symmetry_space_group_name_H-M 'P m m 2'
_symmetry_Int_Tables_number 25
_cell_length_a 2.671
_cell_length_b 3.690
_cell_length_c 5.307
_cell_angle_alpha 90.00
_cell_angle_beta 90.00
_cell_angle_gamma 90.00
loop_
_symmetry_equiv_pos_as_xyz
'x,y,z'
'-x,-y,z'
'-x,y,z'
'x,-y,z'
loop_
_atom_site_label
_atom_site_fract_x
_atom_site_fract_y
_atom_site_fract_z
Ni1 0.000 0.000 0.000
Ru1 0.000 0.000 0.521
Ru2 0.500 0.500 0.753
Pt1 0.500 0.500 0.244
```



Entry 2:
A PBEsol-optimized structure of Li2Mn2P2O9. Source: the Alexandria database, functional SCAN.

energy: -10.2467 eV/atom
calculated volume: 11.7 Å³/atom

```
data_Li2Mn2P2O9
_symmetry_space_group_name_H-M 'P n m a'
_symmetry_Int_Tables_number 62
_cell_length_a 8.352
_cell_length_b 5.484
_cell_length_c 15.388
_cell_angle_alpha 90.00
_cell_angle_beta 90.00
_cell_angle_gamma 90.00
loop_
_symmetry_equiv_pos_as_xyz
'x,y,z'
'-x,-y,-z'
'-x+1/2,-y,z+1/2'
'x+1/2,y,-z+1/2'
'x+1/2,-y+1/2,-z+1/2'
'-x+1/2,y+1/2,z+1/2'
'-x,y+1/2,-z'
'x,-y+1/2,z'
loop_
_atom_site_label
_atom_site_fract_x
_atom_site_fract_y
_atom_site_fract_z
Li1 0.087 0.250 0.220
Li2 0.167 0.250 0.860
Mn1 0.000 0.000 0.500
Mn2 0.202 0.250 0.053
P1 0.162 0.750 0.921
P2 0.214 0.250 0.657
O1 0.009 0.750 0.978
O2 0.075 0.250 0.583
O3 0.076 0.750 0.568
O4 0.130 0.750 0.824
O5 0.135 0.250 0.744
O6 0.183 0.518 0.140
O7 0.242 0.012 0.447
```



Entry 3:
A PBEsol-optimized structure of FeTcSe2. Source: the Alexandria database, functional SCAN.

energy: -22.7242 eV/atom
calculated volume: 15.8 Å³/atom

```
data_FeTcSe2
_symmetry_space_group_name_H-M 'P m m m'
_symmetry_Int_Tables_number 47
_cell_length_a 3.072
_cell_length_b 3.840
_cell_length_c 5.350
_cell_angle_alpha 90.00
_cell_angle_beta 90.00
_cell_angle_gamma 90.00
loop_
_symmetry_equiv_pos_as_xyz
'x,y,z'
'-x,-y,-z'
'-x,-y,z'
'x,y,-z'
'x,-y,-z'
'-x,y,z'
'-x,y,-z'
'x,-y,z'
loop_
_atom_site_label
_atom_site_fract_x
_atom_site_fract_y
_atom_site_fract_z
Fe1 0.000 0.000 0.000
Tc1 0.500 0.000 0.500
Se1 0.000 0.500 0.500
Se2 0.500 0.500 0.000
```



Entry 4:
A PBEsol-optimized structure of KNiB3. Source: the Alexandria database, functional SCAN.

energy: -5.5192 eV/atom
calculated formation energy: 3.84 eV per atom
calculated volume: 15.7 Å³/atom

```
data_KNiB3
_symmetry_space_group_name_H-M 'P m -3 m'
_symmetry_Int_Tables_number 221
_symmetry_space_group_name_Hall '-P 4 2 3'
_cell_length_a 4.286
_cell_length_b 4.286
_cell_length_c 4.286
_cell_angle_alpha 90.00
_cell_angle_beta 90.00
_cell_angle_gamma 90.00
loop_
_atom_site_label
_atom_site_fract_x
_atom_site_fract_y
_atom_site_fract_z
K1 0.000 0.000 0.000
Ni1 0.500 0.500 0.500
B1 0.000 0.000 0.500
```



Entry 5:
A PBEsol-optimized structure of Zr2ScCu. Source: the Alexandria database, functional SCAN.

energy: -22.5460 eV/atom
calculated formation energy: 0.16 eV per atom
calculated volume: 19.0 Å³/atom

```
data_Zr2ScCu
_symmetry_space_group_name_H-M 'F m -3 m'
_symmetry_Int_Tables_number 225
_symmetry_space_group_name_Hall '-F 4 2 3'
_cell_length_a 6.720
_cell_length_b 6.720
_cell_length_c 6.720
_cell_angle_alpha 90.00
_cell_angle_beta 90.00
_cell_angle_gamma 90.00
loop_
_atom_site_label
_atom_site_fract_x
_atom_site_fract_y
_atom_site_fract_z
Zr1 0.250 0.250 0.250
Sc1 0.000 0.000 0.000
Cu1 0.000 0.000 0.500
```



Entry 6:
A PBEsol-optimized structure of BaAs2Cl. Source: the Alexandria database, functional SCAN.

energy: -23.1854 eV/atom
calculated volume: 28.2 Å³/atom

```
data_BaAs2Cl
_symmetry_space_group_name_H-M 'C 1 2/m 1'
_symmetry_Int_Tables_number 12
_cell_length_a 12.791
_cell_length_b 3.764
_cell_length_c 4.783
_cell_angle_alpha 90.00
_cell_angle_beta 101.83
_cell_angle_gamma 90.00
loop_
_symmetry_equiv_pos_as_xyz
'x,y,z'
'-x,-y,-z'
'-x,y,-z'
'x,-y,z'
'x+1/2,y+1/2,z'
'-x+1/2,-y+1/2,-z'
'-x+1/2,y+1/2,-z'
'x+1/2,-y+1/2,z'
loop_
_atom_site_label
_atom_site_fract_x
_atom_site_fract_y
_atom_site_fract_z
Ba1 0.000 0.000 0.000
As1 0.237 0.500 0.154
Cl1 0.000 0.500 0.500
```



Entry 7:
A PBEsol-optimized structure of Ta2TlPb. Source: the Alexandria database, functional SCAN.

energy: -69.5807 eV/atom
calculated formation energy: 0.75 eV per atom
calculated volume: 20.3 Å³/atom

```
data_Ta2TlPb
_symmetry_space_group_name_H-M 'I 4/m m m'
_symmetry_Int_Tables_number 139
_symmetry_space_group_name_Hall '-I 4 2'
_cell_length_a 4.297
_cell_length_b 4.297
_cell_length_c 8.798
_cell_angle_alpha 90.00
_cell_angle_beta 90.00
_cell_angle_gamma 90.00
loop_
_atom_site_label
_atom_site_fract_x
_atom_site_fract_y
_atom_site_fract_z
Ta1 0.000 0.500 0.250
Tl1 0.000 0.000 0.000
Pb1 0.000 0.000 0.500
```



Entry 8:
A PBEsol-optimized structure of Be2TlCd. Source: the Alexandria database, functional SCAN.

energy: -27.2426 eV/atom
calculated formation energy: 0.63 eV per atom
calculated volume: 16.6 Å³/atom

```
data_Be2TlCd
_symmetry_space_group_name_H-M 'P m m m'
_symmetry_Int_Tables_number 47
_cell_length_a 2.880
_cell_length_b 3.821
_cell_length_c 6.020
_cell_angle_alpha 90.00
_cell_angle_beta 90.00
_cell_angle_gamma 90.00
loop_
_symmetry_equiv_pos_as_xyz
'x,y,z'
'-x,-y,-z'
'-x,-y,z'
'x,y,-z'
'x,-y,-z'
'-x,y,z'
'-x,y,-z'
'x,-y,z'
loop_
_atom_site_label
_atom_site_fract_x
_atom_site_fract_y
_atom_site_fract_z
Be1 0.000 0.000 0.196
Tl1 0.500 0.500 0.500
Cd1 0.500 0.500 0.000
```



Entry 9:
A PBEsol-optimized structure of Os3PdSe. Source: the Alexandria database, functional SCAN.

energy: -51.7684 eV/atom
calculated volume: 17.7 Å³/atom

```
data_Os3PdSe
_symmetry_space_group_name_H-M 'P m -3 m'
_symmetry_Int_Tables_number 221
_symmetry_space_group_name_Hall '-P 4 2 3'
_cell_length_a 4.454
_cell_length_b 4.454
_cell_length_c 4.454
_cell_angle_alpha 90.00
_cell_angle_beta 90.00
_cell_angle_gamma 90.00
loop_
_atom_site_label
_atom_site_fract_x
_atom_site_fract_y
_atom_site_fract_z
Os1 0.000 0.000 0.500
Pd1 0.500 0.500 0.500
Se1 0.000 0.000 0.000
```



Entry 10:
A PBEsol-optimized structure of BaCa2Ga2. Source: the Alexandria database, functional SCAN.

energy: -18.6346 eV/atom
calculated formation energy: -0.32 eV per atom
calculated volume: 30.5 Å³/atom

```
data_BaCa2Ga2
_symmetry_space_group_name_H-M 'P 4/m b m'
_symmetry_Int_Tables_number 127
_symmetry_space_group_name_Hall '-P 4 2ab'
_cell_length_a 8.109
_cell_length_b 8.109
_cell_length_c 4.642
_cell_angle_alpha 90.00
_cell_angle_beta 90.00
_cell_angle_gamma 90.00
loop_
_atom_site_label
_atom_site_fract_x
_atom_site_fract_y
_atom_site_fract_z
Ba1 0.000 0.000 0.000
Ca1 0.165 0.335 0.500
Ga1 0.110 0.610 0.000
```



Entry 11:
A PBEsol-optimized structure of La2FeTc. Source: the Alexandria database, functional SCAN.

energy: -34.6096 eV/atom
calculated formation energy: 0.24 eV per atom
calculated volume: 21.9 Å³/atom

```
data_La2FeTc
_symmetry_space_group_name_H-M 'I m m 2'
_symmetry_Int_Tables_number 44
_cell_length_a 3.850
_cell_length_b 5.001
_cell_length_c 9.105
_cell_angle_alpha 90.00
_cell_angle_beta 90.00
_cell_angle_gamma 90.00
loop_
_symmetry_equiv_pos_as_xyz
'x,y,z'
'-x,-y,z'
'-x,y,z'
'x,-y,z'
'x+1/2,y+1/2,z+1/2'
'-x+1/2,-y+1/2,z+1/2'
'-x+1/2,y+1/2,z+1/2'
'x+1/2,-y+1/2,z+1/2'
loop_
_atom_site_label
_atom_site_fract_x
_atom_site_fract_y
_atom_site_fract_z
La1 0.000 0.000 0.000
La2 0.000 0.500 0.196
Fe1 0.000 0.000 0.410
Tc1 0.000 0.500 0.794
```



Entry 12:
A PBEsol-optimized structure of SnSe2. Source: the Alexandria database, functional SCAN.

energy: -25.6954 eV/atom
calculated volume: 25.6 Å³/atom

```
data_SnSe2
_symmetry_space_group_name_H-M 'P -3 m 1'
_symmetry_Int_Tables_number 164
_symmetry_space_group_name_Hall '-P 3 2"'
_cell_length_a 3.8205
_cell_length_b 3.8205
_cell_length_c 6.0746
_cell_angle_alpha 90.00
_cell_angle_beta 90.00
_cell_angle_gamma 120.00
loop_
_atom_site_label
_atom_site_fract_x
_atom_site_fract_y
_atom_site_fract_z
Sn1 0.0000 0.0000 0.0000
Se1 0.3333 0.6667 0.2612
```



Entry 13:
A PBEsol-optimized structure of InSbSe3. Source: the Alexandria database, functional SCAN.

energy: -25.7916 eV/atom
calculated volume: 27.0 Å³/atom

```
data_InSbSe3
_symmetry_space_group_name_H-M 'P m -3 m'
_symmetry_Int_Tables_number 221
_symmetry_space_group_name_Hall '-P 4 2 3'
_cell_length_a 5.129
_cell_length_b 5.129
_cell_length_c 5.129
_cell_angle_alpha 90.00
_cell_angle_beta 90.00
_cell_angle_gamma 90.00
loop_
_atom_site_label
_atom_site_fract_x
_atom_site_fract_y
_atom_site_fract_z
In1 0.000 0.000 0.000
Sb1 0.500 0.500 0.500
Se1 0.000 0.000 0.500
```